A plane-wave DFT calculation with GGA-PBE was carried out for crystalline HfMgCuSb at its relaxed geometry.

abc: 4.827 4.827 4.827
angles: 60.00 60.00 60.00
Fractional positions:
Hf: 0.000 0.000 0.000
Mg: 0.750 0.750 0.750
Cu: 0.500 0.500 0.500
Sb: 0.250 0.250 0.250

Results
Calculated density in kg/m³: 8103
ΔE to the lowest computed polymorph in eV/atom: 0.000